Entry 1:
Density functional theory data (GGA-PBE) for a relaxed Na2GaAsSe4 crystal.

Computed properties:
Its electronic total energy is -3.67 eV/atom. The value obtained for the volume is 29.20 Å³ per atom. The value obtained for the density of states at the Fermi level is 0.000 states/eV per cell.

```
data_Na2GaAsSe4
_chemical_formula_sum 'Na4 Ga2 As2 Se8'
_cell_length_a 9.352
_cell_length_b 8.026
_cell_length_c 6.224
_cell_angle_alpha 90.00
_cell_angle_beta 90.00
_cell_angle_gamma 90.00
_space_group_name_H-M_alt 'P 1'
_space_group_IT_number 1
loop_
_space_group_symop_operation_xyz
'x,y,z'
loop_
_atom_site_label
_atom_site_type_symbol
_atom_site_fract_x
_atom_site_fract_y
_atom_site_fract_z
Na1 Na 0.243 0.166 0.000
Na2 Na 0.257 0.834 0.500
Na3 Na 0.743 0.834 0.500
Na4 Na 0.757 0.166 0.000
Ga1 Ga 0.000 0.352 0.544
Ga2 Ga 0.500 0.648 0.044
As1 As 0.000 0.682 0.037
As2 As 0.500 0.318 0.537
Se1 Se 0.000 0.393 0.941
Se2 Se 0.000 0.646 0.426
Se3 Se 0.220 0.201 0.479
Se4 Se 0.280 0.799 0.979
Se5 Se 0.500 0.354 0.926
Se6 Se 0.500 0.607 0.441
Se7 Se 0.720 0.799 0.979
Se8 Se 0.780 0.201 0.479
```

---

Entry 2:
Density functional theory data (GGA-PBE) for a relaxed CuHgTe2 crystal.

Computed properties:
Its electronic total energy is -2.55 eV/atom. The value obtained for the volume is 25.22 Å³ per atom. The value obtained for the density of states at the Fermi level is 2.448 states/eV per cell.

```
data_CuHgTe2
_chemical_formula_sum 'Cu1 Hg1 Te2'
_cell_length_a 4.152
_cell_length_b 4.152
_cell_length_c 5.851
_cell_angle_alpha 90.00
_cell_angle_beta 90.00
_cell_angle_gamma 90.00
_space_group_name_H-M_alt 'P 1'
_space_group_IT_number 1
loop_
_space_group_symop_operation_xyz
'x,y,z'
loop_
_atom_site_label
_atom_site_type_symbol
_atom_site_fract_x
_atom_site_fract_y
_atom_site_fract_z
Cu1 Cu 0.000 0.000 0.000
Hg1 Hg 0.500 0.500 0.500
Te1 Te 0.000 0.000 0.500
Te2 Te 0.500 0.500 0.000
```

---

Entry 3:
Density functional theory data (GGA-PBE) for a relaxed ZrCdW crystal.

Computed properties:
The relative energy among the computed polymorphs is 45 meV per atom. The value obtained for the volume is 19.40 Å³ per atom. The value obtained for the density of states at the Fermi level is 2.132 states/eV per cell. The formation enthalpy at 0 K comes out at 0.303 eV per atom.

```
data_ZrCdW
_chemical_formula_sum 'Zr1 Cd1 W1'
_cell_length_a 7.419
_cell_length_b 7.419
_cell_length_c 7.419
_cell_angle_alpha 157.81
_cell_angle_beta 157.81
_cell_angle_gamma 31.58
_space_group_name_H-M_alt 'P 1'
_space_group_IT_number 1
loop_
_space_group_symop_operation_xyz
'x,y,z'
loop_
_atom_site_label
_atom_site_type_symbol
_atom_site_fract_x
_atom_site_fract_y
_atom_site_fract_z
Zr1 Zr 0.000 0.000 0.000
Cd1 Cd 0.677 0.677 0.000
W1 W 0.338 0.338 0.000
```

---

Entry 4:
Density functional theory data (GGA-PBE) for a relaxed Be2HgP crystal.

Computed properties:
The relative energy among the computed polymorphs is 559 meV per atom. The value obtained for the volume is 14.23 Å³ per atom. The value obtained for the density of states at the Fermi level is 1.750 states/eV per cell. The formation enthalpy at 0 K comes out at 0.682 eV per atom.

```
data_Be2HgP
_chemical_formula_sum 'Be2 Hg1 P1'
_cell_length_a 4.545
_cell_length_b 4.545
_cell_length_c 4.545
_cell_angle_alpha 127.78
_cell_angle_beta 127.78
_cell_angle_gamma 76.98
_space_group_name_H-M_alt 'P 1'
_space_group_IT_number 1
loop_
_space_group_symop_operation_xyz
'x,y,z'
loop_
_atom_site_label
_atom_site_type_symbol
_atom_site_fract_x
_atom_site_fract_y
_atom_site_fract_z
Be1 Be 0.250 0.750 0.500
Be2 Be 0.750 0.250 0.500
Hg1 Hg 0.000 0.000 0.000
P1 P 0.500 0.500 0.000
```